A relaxed Y2OsBr crystal. Source: Alexandria via LeMat-Bulk, functional GGA-PBE.

As for the uncorrected formation energy: -2.0 eV/f.u.

The structure belongs to space group Imm2 (No. 44); the cell edges are 3.4656, 3.7870 and 15.7144 Å and the angles 90.00°, 90.00° and 90.00°. Symmetry generates all atoms from Y at (0.0000, 0.0000, 0.0000), Y at (0.0000, 0.5000, 0.2954), Os at (0.0000, 0.0000, 0.4184) and Br at (0.0000, 0.5000, 0.6682).